Entry 1:
DFT (PBE-GGA) results for a relaxed structure of CsPmPa.

Values from the calculation:
energy above the lowest structure with this stoichiometry = 22 meV/atom
spin magnetization = 1.415 μB/cell

Cell lengths 5.391, 5.391, 5.391 Å; angles 60.00, 60.00, 60.00 degrees
Site moments in Bohr magnetons follow the coordinates.
Fractional coordinates of all 3 atoms:
Pm1 0.750 0.750 0.750  0.07
Pa1 0.250 0.250 0.250  1.08
Cs1 0.000 0.000 0.000  0.02

Entry 2:
DFT (PBE-GGA) results for a relaxed structure of CsPrPa.

Values from the calculation:
energy above the lowest structure with this stoichiometry = 35 meV/atom
spin magnetization = 1.467 μB/cell

Cell lengths 5.423, 5.423, 5.423 Å; angles 60.00, 60.00, 60.00 degrees
Site moments in Bohr magnetons follow the coordinates.
Fractional coordinates of all 3 atoms:
Pa1 0.750 0.750 0.750  1.09
Pr1 0.250 0.250 0.250  0.08
Cs1 0.000 0.000 0.000  0.02

Entry 3:
DFT (PBE-GGA) results for a relaxed structure of CsPrPa.

Values from the calculation:
energy above the lowest structure with this stoichiometry = 0 meV/atom
spin magnetization = 3.483 μB/cell

Cell lengths 5.739, 5.739, 5.739 Å; angles 60.00, 60.00, 60.00 degrees
Site moments in Bohr magnetons follow the coordinates.
Fractional coordinates of all 3 atoms:
Pr1 0.500 0.500 0.500  0.53
Cs1 0.750 0.750 0.750  0.05
Pa1 0.250 0.250 0.250  1.93

| no. | calculated total energy (eV per cell) |
| --- | --- |
| 1 | -9.63 |
| 2 | -9.72 |
| 3 | -9.83 |